YPuSnPt after structural relaxation, computed with PBE.

a b c (Å): 5.172 5.172 5.172
angles (deg): 60.00 60.00 60.00
Positions (direct):
Y  0.000  0.000  0.000
Pu  0.500  0.500  0.500
Sn  0.750  0.750  0.750
Pt  0.250  0.250  0.250

## Properties
As for the formation energy from the elements: -0.61 eV/atom. Its space group is F-43m. The crystal system is cubic.